# 1
The following is a DFT calculation (GGA-PBE) of an optimized crystal structure of SrHRu3. Values from VASP.

```
&SYSTEM
  ibrav = 0, nat = 5, ntyp = 3
/
ATOMIC_SPECIES
Ru 101.07 Ru.upf
Sr 87.62 Sr.upf
H 1.01 H.upf
ATOMIC_POSITIONS crystal
Ru 0.000 0.000 0.500
Ru 0.000 0.500 0.000
Ru 0.500 0.000 0.000
Sr 0.000 0.000 0.000
H 0.500 0.500 0.500
CELL_PARAMETERS angstrom
5.084 0.000 0.000
0.000 5.084 0.000
0.000 0.000 5.084
```

Crystal system: cubic
E_tot (eV per atom): -3.4319
ΔE to the lowest computed polymorph (eV/f.u.): 12.355

# 2
The following is a DFT calculation (GGA-PBE) of an optimized crystal structure of Pm9PrSm2. Values from VASP.

```
&SYSTEM
  ibrav = 0, nat = 12, ntyp = 3
/
ATOMIC_SPECIES
Pm 145.00 Pm.upf
Sm 150.36 Sm.upf
Pr 140.91 Pr.upf
ATOMIC_POSITIONS crystal
Pm 0.500 0.000 0.500
Pm 0.500 0.500 0.666
Pm 0.500 0.500 0.334
Pm 0.500 0.000 0.832
Pm 0.500 0.000 0.168
Pm 0.000 0.500 0.832
Pm 0.500 0.500 0.000
Pm 0.000 0.500 0.500
Pm 0.000 0.500 0.168
Sm 0.000 0.000 0.666
Sm 0.000 0.000 0.334
Pr 0.000 0.000 0.000
CELL_PARAMETERS angstrom
5.160 0.000 0.000
0.000 5.160 0.000
0.000 0.000 15.483
```

Crystal system: tetragonal
E_tot (eV per atom): -4.7327
Energy of formation (eV per atom): 0.02

# 3
The following is a DFT calculation (GGA-PBE) of an optimized crystal structure of Pm4TlRh2. Values from VASP.

```
&SYSTEM
  ibrav = 0, nat = 7, ntyp = 3
/
ATOMIC_SPECIES
Pm 145.00 Pm.upf
Rh 102.91 Rh.upf
Tl 204.38 Tl.upf
ATOMIC_POSITIONS crystal
Pm 0.202 0.202 0.394
Pm 0.608 0.608 0.176
Pm 0.392 0.392 0.824
Pm 0.798 0.798 0.606
Rh 0.904 0.904 0.288
Rh 0.096 0.096 0.712
Tl 0.000 0.000 0.000
CELL_PARAMETERS angstrom
4.196 0.000 0.000
2.098 3.634 0.000
2.098 1.211 13.468
```

Crystal system: trigonal
E_tot (eV per atom): -5.6479
Energy of formation (eV per atom): -0.49

# 4
The following is a DFT calculation (GGA-PBE) of an optimized crystal structure of La2GaRhPb. Values from VASP.

```
&SYSTEM
  ibrav = 0, nat = 5, ntyp = 4
/
ATOMIC_SPECIES
La 138.91 La.upf
Rh 102.91 Rh.upf
Ga 69.72 Ga.upf
Pb 207.20 Pb.upf
ATOMIC_POSITIONS crystal
La 0.000 0.500 0.000
La 0.500 0.000 0.000
Rh 0.000 0.000 0.000
Ga 0.000 0.000 0.500
Pb 0.500 0.500 0.500
CELL_PARAMETERS angstrom
-0.486 5.476 0.000
-2.911 -0.259 4.656
4.094 0.363 2.580
```

Crystal system: tetragonal
E_tot (eV per atom): -5.4272
Energy of formation (eV per atom): -0.64

# 5
The following is a DFT calculation (GGA-PBE) of an optimized crystal structure of LiFe3Ni12. Values from VASP.

```
&SYSTEM
  ibrav = 0, nat = 16, ntyp = 3
/
ATOMIC_SPECIES
Ni 58.69 Ni.upf
Li 6.94 Li.upf
Fe 55.84 Fe.upf
ATOMIC_POSITIONS crystal
Ni 0.000 0.500 0.875
Ni 0.500 0.000 0.125
Ni 0.500 0.000 0.875
Ni 0.500 0.000 0.625
Ni 0.500 0.500 0.000
Ni 0.000 0.500 0.625
Ni 0.000 0.500 0.375
Ni 0.500 0.000 0.375
Ni 0.000 0.500 0.125
Ni 0.500 0.500 0.750
Ni 0.500 0.500 0.250
Ni 0.500 0.500 0.500
Li 0.000 0.000 0.000
Fe 0.000 0.000 0.246
Fe 0.000 0.000 0.500
Fe 0.000 0.000 0.754
CELL_PARAMETERS angstrom
-2.827 -1.864 1.044
1.310 -2.880 -1.594
6.713 -3.523 11.884
```

Crystal system: tetragonal
E_tot (eV per atom): -6.1085
Energy of formation (eV per atom): -0.07

# 6
The following is a DFT calculation (GGA-PBE) of an optimized crystal structure of Tb2Y2Cu3. Values from VASP.

```
&SYSTEM
  ibrav = 0, nat = 14, ntyp = 3
/
ATOMIC_SPECIES
Y 88.91 Y.upf
Tb 158.93 Tb.upf
Cu 63.55 Cu.upf
ATOMIC_POSITIONS crystal
Y 0.500 0.869 0.500
Y 0.369 0.500 0.000
Y 0.000 0.000 0.869
Y 0.131 0.631 0.631
Tb 0.000 0.000 0.370
Tb 0.870 0.500 0.000
Tb 0.630 0.130 0.130
Tb 0.500 0.370 0.500
Cu 0.750 0.626 0.376
Cu 0.126 0.376 0.250
Cu 0.624 0.750 0.874
Cu 0.876 0.250 0.626
Cu 0.374 0.124 0.750
Cu 0.250 0.874 0.124
CELL_PARAMETERS angstrom
-6.990 1.231 2.597
-0.040 0.239 -7.554
2.378 -6.798 2.293
```

Crystal system: cubic
E_tot (eV per atom): -5.0130
Energy of formation (eV per atom): -0.09

# 7
The following is a DFT calculation (GGA-PBE) of an optimized crystal structure of PmDy4Tm8. Values from VASP.

```
&SYSTEM
  ibrav = 0, nat = 13, ntyp = 3
/
ATOMIC_SPECIES
Tm 168.93 Tm.upf
Dy 162.50 Dy.upf
Pm 145.00 Pm.upf
ATOMIC_POSITIONS crystal
Tm 0.058 0.808 0.692
Tm 0.499 0.250 0.693
Tm 0.942 0.192 0.308
Tm 0.058 0.249 0.692
Tm 0.437 0.218 0.345
Tm 0.563 0.782 0.655
Tm 0.942 0.751 0.308
Tm 0.501 0.750 0.307
Dy 0.000 0.000 0.000
Dy 0.000 0.500 0.000
Dy 0.500 0.000 0.000
Dy 0.500 0.500 0.000
Pm 0.000 0.500 0.500
CELL_PARAMETERS angstrom
7.140 0.530 -1.029
-4.113 5.958 0.000
4.587 3.167 8.091
```

Crystal system: monoclinic
E_tot (eV per atom): -4.3199
Energy of formation (eV per atom): 0.21

# 8
The following is a DFT calculation (GGA-PBE) of an optimized crystal structure of InOs2Pb. Values from VASP.

```
&SYSTEM
  ibrav = 0, nat = 4, ntyp = 3
/
ATOMIC_SPECIES
Os 190.23 Os.upf
In 114.82 In.upf
Pb 207.20 Pb.upf
ATOMIC_POSITIONS crystal
Os 0.262 0.262 0.262
Os 0.990 0.990 0.990
In 0.733 0.733 0.733
Pb 0.515 0.515 0.515
CELL_PARAMETERS angstrom
10.733 -0.004 -0.002
10.321 2.945 -0.002
10.321 1.442 2.568
```

Crystal system: trigonal
E_tot (eV per atom): -6.5614
ΔE to the lowest computed polymorph (eV/f.u.): 0.676
Energy of formation (eV per atom): 0.67

# 9
The following is a DFT calculation (GGA-PBE) of an optimized crystal structure of Th2Te3. Values from VASP.

```
&SYSTEM
  ibrav = 0, nat = 20, ntyp = 2
/
ATOMIC_SPECIES
Te 127.60 Te.upf
Th 232.04 Th.upf
ATOMIC_POSITIONS crystal
Te 0.250 0.000 0.601
Te 0.250 0.705 0.274
Te 0.250 0.393 0.425
Te 0.250 0.893 0.075
Te 0.250 0.500 0.899
Te 0.750 0.295 0.726
Te 0.250 0.205 0.226
Te 0.750 0.500 0.101
Te 0.750 0.107 0.925
Te 0.750 0.607 0.575
Te 0.750 0.000 0.399
Te 0.750 0.795 0.774
Th 0.250 0.755 0.458
Th 0.750 0.245 0.542
Th 0.250 0.555 0.712
Th 0.750 0.745 0.958
Th 0.750 0.945 0.212
Th 0.250 0.255 0.042
Th 0.750 0.445 0.288
Th 0.250 0.055 0.788
CELL_PARAMETERS angstrom
-0.226 2.162 3.691
-8.758 0.526 -0.843
-1.714 -14.806 8.569
```

Crystal system: orthorhombic
E_tot (eV per atom): -6.0248
Formation energy without anion corrections (meV per atom): -1172

# 10
The following is a DFT calculation (GGA-PBE) of an optimized crystal structure of SrMgP. Values from VASP.

```
&SYSTEM
  ibrav = 0, nat = 3, ntyp = 3
/
ATOMIC_SPECIES
P 30.97 P.upf
Sr 87.62 Sr.upf
Mg 24.30 Mg.upf
ATOMIC_POSITIONS crystal
P 0.361 0.361 0.639
Sr 0.683 0.683 0.317
Mg 0.956 0.956 0.044
CELL_PARAMETERS angstrom
-0.849 -3.470 5.157
-0.875 -5.757 2.338
3.267 -1.245 0.977
```

Crystal system: tetragonal
E_tot (eV per atom): -3.2752
ΔE to the lowest computed polymorph (eV/f.u.): 0.897
Energy of formation (eV per atom): -0.38

# 11
The following is a DFT calculation (GGA-PBE) of an optimized crystal structure of TcP2Au. Values from VASP.

```
&SYSTEM
  ibrav = 0, nat = 4, ntyp = 3
/
ATOMIC_SPECIES
Tc 98.00 Tc.upf
Au 196.97 Au.upf
P 30.97 P.upf
ATOMIC_POSITIONS crystal
Tc 0.500 0.000 0.500
Au 0.000 0.500 0.500
P 0.000 0.000 0.000
P 0.500 0.500 0.000
CELL_PARAMETERS angstrom
-1.999 -2.202 -0.930
2.579 -3.448 2.622
-2.268 0.718 3.175
```

Crystal system: orthorhombic
E_tot (eV per atom): -5.5937
ΔE to the lowest computed polymorph (eV/f.u.): 2.699
Energy of formation (eV per atom): 0.52

# 12
The following is a DFT calculation (GGA-PBE) of an optimized crystal structure of HoErCu. Values from VASP.

```
&SYSTEM
  ibrav = 0, nat = 6, ntyp = 3
/
ATOMIC_SPECIES
Er 167.26 Er.upf
Cu 63.55 Cu.upf
Ho 164.93 Ho.upf
ATOMIC_POSITIONS crystal
Er 0.408 0.019 0.042
Er 0.211 0.640 0.816
Cu 0.930 0.262 0.755
Cu 0.689 0.397 0.104
Ho 0.653 0.078 0.492
Ho 0.966 0.580 0.366
CELL_PARAMETERS angstrom
-0.202 3.331 -1.517
-6.282 1.678 0.091
-0.735 4.350 5.219
```

Crystal system: monoclinic
E_tot (eV per atom): -4.5701
ΔE to the lowest computed polymorph (eV/f.u.): 0.058
Energy of formation (eV per atom): -0.16

# 13
The following is a DFT calculation (GGA-PBE) of an optimized crystal structure of Er3P2Rh5Au2. Values from VASP.

```
&SYSTEM
  ibrav = 0, nat = 12, ntyp = 4
/
ATOMIC_SPECIES
Au 196.97 Au.upf
Rh 102.91 Rh.upf
Er 167.26 Er.upf
P 30.97 P.upf
ATOMIC_POSITIONS crystal
Au 0.724 0.724 0.448
Au 0.276 0.276 0.552
Rh 0.081 0.581 0.163
Rh 0.581 0.081 0.163
Rh 0.919 0.419 0.837
Rh 0.419 0.919 0.837
Rh 0.500 0.500 0.000
Er 0.163 0.163 0.326
Er 0.837 0.837 0.674
Er 0.000 0.000 0.000
P 0.626 0.626 0.251
P 0.374 0.374 0.749
CELL_PARAMETERS angstrom
-1.630 3.453 1.210
-2.617 -2.026 2.256
10.503 -0.296 8.361
```

Crystal system: tetragonal
E_tot (eV per atom): -6.6190
Energy of formation (eV per atom): -0.97